# ScInFeNi, optimized geometry, DFT GGA-PBE
data_ScInFeNi
_chemical_formula_sum 'Sc4 In4 Fe4 Ni4'
_symmetry_space_group_name_H-M 'F -4 3 m'
_symmetry_Int_Tables_number 216
_symmetry_space_group_name_Hall 'F -4 2 3'
_cell_length_a 6.387
_cell_length_b 6.387
_cell_length_c 6.387
_cell_angle_alpha 90.00
_cell_angle_beta 90.00
_cell_angle_gamma 90.00
loop_
_atom_site_label
_atom_site_type_symbol
_atom_site_fract_x
_atom_site_fract_y
_atom_site_fract_z
_atom_site_occupancy
Sc1 Sc 0.000 0.000 0.000 1
In1 In 0.250 0.250 0.750 1
Fe1 Fe 0.000 0.000 0.500 1
Ni1 Ni 0.250 0.250 0.250 1
# * volume: 260.6 Å³/cell
# * E_tot: -91.638 eV/cell
# * relative energy among the computed polymorphs: 172 meV/atom
# * spin magnetization: 10.96 μB/cell